First-principles (PBE) data for crystalline Ba3SrIn at its relaxed geometry, as listed in Alexandria via LeMat-Bulk.

a = 4.3014 Å, b = 11.1149 Å, c = 11.8671 Å
α = 90.00°, β = 90.00°, γ = 67.23°
Fractional positions:
Ba1 0.7817 0.7183 0.7967
Ba2 0.2185 0.2817 0.2968
Ba3 0.7817 0.7183 0.2033
Ba4 0.4507 0.0491 0.0000
Ba5 0.5489 0.9508 0.5000
Ba6 0.2185 0.2817 0.7032
In1 0.9999 0.0000 0.7500
In2 0.9999 0.0000 0.2500
Sr1 0.4233 0.5770 0.5000
Sr2 0.5771 0.4230 0.0000

Output
magnetic moment	0.24	μB/cell
polymorph energy (0 for the lowest one)	0.007	eV/atom
calculated volume	262	Å³/f.u.
symmetry	Pmma
E_form	-166	meV/atom

***

First-principles (PBE) data for crystalline Be2HgP at its relaxed geometry, as listed in Alexandria via LeMat-Bulk.

a = 5.5969 Å, b = 5.5969 Å, c = 6.1628 Å
α = 62.99°, β = 62.99°, γ = 90.00°
Fractional positions:
Be1 0.2008 0.6250 0.2500
Be2 0.8750 0.7992 0.7500
Be3 0.3750 0.4508 0.7500
Be4 0.5492 0.1250 0.2500
Hg1 0.0000 0.0000 0.0000
Hg2 0.7500 0.2500 0.5000
P1 0.2500 0.7500 0.5000
P2 0.5000 0.5000 0.0000

Output
magnetic moment	0.00	μB/cell
polymorph energy (0 for the lowest one)	0.097	eV/atom
calculated volume	74	Å³/f.u.
symmetry	I-42d
E_form	219	meV/atom

***

First-principles (PBE) data for crystalline PmNd2Zn at its relaxed geometry, as listed in Alexandria via LeMat-Bulk.

a = 5.4907 Å, b = 5.4907 Å, c = 5.4907 Å
α = 60.00°, β = 60.00°, γ = 60.00°
Fractional positions:
Zn1 0.5000 0.5000 0.5000
Nd1 0.7500 0.7500 0.7500
Nd2 0.2500 0.2500 0.2500
Pm1 0.0000 0.0000 0.0000

Output
magnetic moment	0.00	μB/cell
polymorph energy (0 for the lowest one)	0.206	eV/atom
calculated volume	117	Å³/f.u.
symmetry	Fm-3m
E_form	58	meV/atom

***

What is the polymorph energy (0 for the lowest one) in the first record?
0.007 eV/atom

***

Which value of polymorph energy (0 for the lowest one) does entry 1 give?
0.007 eV/atom

***

Which formula does entry 3 have?
PmNd2Zn

***

Which formula does entry 1 have?
Ba3SrIn